P | HoEr2Mg9: optimized geometry, GGA-PBE.

Summary:
* ρ: 4.0 g/cm3
* DOS at the Fermi energy: 9.6 states/eV/cell

Cell: 4.6473 4.6473 13.9266 Å, 90.00 90.00 90.00°
Fractional coordinates of all 12 atoms:
Ho 0.0000 0.0000 0.0000
Er 0.0000 0.0000 0.3335
Er 0.0000 0.0000 0.6665
Mg 0.0000 0.5000 0.1670
Mg 0.0000 0.5000 0.5000
Mg 0.0000 0.5000 0.8330
Mg 0.5000 0.0000 0.1670
Mg 0.5000 0.0000 0.5000
Mg 0.5000 0.0000 0.8330
Mg 0.5000 0.5000 0.0000
Mg 0.5000 0.5000 0.3338
Mg 0.5000 0.5000 0.6662


Q | HoEr2Mg9: optimized geometry, GGA-PBE.

Summary:
* ρ: 3.9 g/cm3
* DOS at the Fermi energy: 10.3 states/eV/cell

Cell: 10.2567 10.2567 10.2567 Å, 34.12 34.12 34.12°
Fractional coordinates of all 12 atoms:
Ho 0.0000 0.0000 0.0000
Er 0.1434 0.1434 0.1434
Er 0.8566 0.8566 0.8566
Mg 0.0791 0.5870 0.5870
Mg 0.3341 0.3341 0.3341
Mg 0.4130 0.4130 0.9209
Mg 0.4130 0.9209 0.4130
Mg 0.5000 0.5000 0.5000
Mg 0.5870 0.0791 0.5870
Mg 0.5870 0.5870 0.0791
Mg 0.6659 0.6659 0.6659
Mg 0.9209 0.4130 0.4130


Of them, P has the highest stability.


P | Ho4Er7Mg: optimized geometry, GGA-PBE.

Summary:
* ρ: 8.3 g/cm3
* DOS at the Fermi energy: 18.3 states/eV/cell

Cell: 11.3422 11.3422 6.2984 Å, 102.22 102.22 28.12°
Fractional coordinates of all 12 atoms:
Ho 0.1168 0.1168 0.3398
Ho 0.2086 0.2086 0.8862
Ho 0.7914 0.7914 0.1138
Ho 0.8832 0.8832 0.6602
Er 0.0460 0.0460 0.7995
Er 0.2895 0.2895 0.4382
Er 0.3649 0.3649 0.0111
Er 0.5000 0.5000 0.5000
Er 0.6351 0.6351 0.9889
Er 0.7105 0.7105 0.5618
Er 0.9540 0.9540 0.2005
Mg 0.5000 0.5000 0.0000


Q | Ho4Er7Mg: optimized geometry, GGA-PBE.

Summary:
* ρ: 8.5 g/cm3
* DOS at the Fermi energy: 17.2 states/eV/cell

Cell: 3.5073 3.5073 33.9824 Å, 90.00 90.00 120.00°
Fractional coordinates of all 12 atoms:
Ho 0.3333 0.6667 0.1626
Ho 0.3333 0.6667 0.4156
Ho 0.6667 0.3333 0.5844
Ho 0.6667 0.3333 0.8374
Er 0.0000 0.0000 0.2470
Er 0.0000 0.0000 0.5000
Er 0.0000 0.0000 0.7530
Er 0.3333 0.6667 0.6688
Er 0.3333 0.6667 0.9213
Er 0.6667 0.3333 0.0787
Er 0.6667 0.3333 0.3312
Mg 0.0000 0.0000 0.0000


Of them, Q has the highest stability.


P | Ho3ErMg7: optimized geometry, GGA-PBE.

Summary:
* ρ: 4.6 g/cm3
* DOS at the Fermi energy: 19.8 states/eV/cell

Cell: 11.3278 11.3278 16.3014 Å, 90.00 90.00 163.30°
Fractional coordinates of all 22 atoms:
Ho 0.1178 0.8822 0.5332
Ho 0.1178 0.8822 0.9668
Ho 0.2376 0.7624 0.2500
Ho 0.7624 0.2376 0.7500
Ho 0.8822 0.1178 0.0332
Ho 0.8822 0.1178 0.4668
Er 0.0139 0.9861 0.2500
Er 0.9861 0.0139 0.7500
Mg 0.2620 0.7380 0.5751
Mg 0.2620 0.7380 0.9249
Mg 0.3754 0.6246 0.6576
Mg 0.3754 0.6246 0.8424
Mg 0.3845 0.6155 0.2500
Mg 0.4937 0.5063 0.5843
Mg 0.4937 0.5063 0.9157
Mg 0.5063 0.4937 0.0843
Mg 0.5063 0.4937 0.4157
Mg 0.6155 0.3845 0.7500
Mg 0.6246 0.3754 0.1576
Mg 0.6246 0.3754 0.3424
Mg 0.7380 0.2620 0.0751
Mg 0.7380 0.2620 0.4249


Q | Ho3ErMg7: optimized geometry, GGA-PBE.

Summary:
* ρ: 4.4 g/cm3
* DOS at the Fermi energy: 9.7 states/eV/cell

Cell: 7.4000 7.4000 6.0282 Å, 103.08 103.08 86.89°
Fractional coordinates of all 11 atoms:
Ho 0.0000 0.0000 0.0000
Ho 0.1927 0.8073 0.5000
Ho 0.8073 0.1927 0.5000
Er 0.5000 0.5000 0.0000
Mg 0.0524 0.5647 0.8118
Mg 0.2374 0.2374 0.5237
Mg 0.4353 0.9476 0.1882
Mg 0.5000 0.5000 0.5000
Mg 0.5647 0.0524 0.8118
Mg 0.7626 0.7626 0.4763
Mg 0.9476 0.4353 0.1882


Of them, P has the highest stability.


P | Ho6ErMg: optimized geometry, GGA-PBE.

Summary:
* ρ: 8.1 g/cm3
* DOS at the Fermi energy: 11.5 states/eV/cell

Cell: 6.3717 6.3717 8.5307 Å, 110.51 110.51 48.99°
Fractional coordinates of all 8 atoms:
Ho 0.0088 0.0088 0.2275
Ho 0.2496 0.2496 0.6421
Ho 0.2756 0.2756 0.1189
Ho 0.7244 0.7244 0.8811
Ho 0.7504 0.7504 0.3579
Ho 0.9912 0.9912 0.7725
Er 0.5000 0.5000 0.5000
Mg 0.5000 0.5000 0.0000


Q | Ho6ErMg: optimized geometry, GGA-PBE.

Summary:
* ρ: 8.0 g/cm3
* DOS at the Fermi energy: 14.0 states/eV/cell

Cell: 6.2873 6.2873 6.2873 Å, 95.15 95.15 95.15°
Fractional coordinates of all 8 atoms:
Ho 0.0458 0.7565 0.5266
Ho 0.2435 0.4734 0.9542
Ho 0.4734 0.9542 0.2435
Ho 0.5266 0.0458 0.7565
Ho 0.7565 0.5266 0.0458
Ho 0.9542 0.2435 0.4734
Er 0.5000 0.5000 0.5000
Mg 0.0000 0.0000 0.0000


Of them, P has the highest stability.


P | Ho4ErMg: optimized geometry, GGA-PBE.

Summary:
* ρ: 7.9 g/cm3
* DOS at the Fermi energy: 8.3 states/eV/cell

Cell: 3.5277 3.5277 14.3183 Å, 90.00 90.00 90.00°
Fractional coordinates of all 6 atoms:
Ho 0.0000 0.0000 0.1555
Ho 0.0000 0.0000 0.8445
Ho 0.5000 0.5000 0.3263
Ho 0.5000 0.5000 0.6737
Er 0.0000 0.0000 0.5000
Mg 0.5000 0.5000 0.0000


Q | Ho4ErMg: optimized geometry, GGA-PBE.

Summary:
* ρ: 8.0 g/cm3
* DOS at the Fermi energy: 18.2 states/eV/cell

Cell: 6.0421 6.0421 11.7410 Å, 104.88 104.88 60.24°
Fractional coordinates of all 12 atoms:
Ho 0.1647 0.6714 0.0001
Ho 0.2515 0.4145 0.2497
Ho 0.3286 0.8353 0.4999
Ho 0.4145 0.2515 0.7497
Ho 0.5855 0.7485 0.2503
Ho 0.6714 0.1647 0.5001
Ho 0.7485 0.5855 0.7503
Ho 0.8353 0.3286 0.9999
Er 0.0000 0.5000 0.5000
Er 0.5000 0.0000 0.0000
Mg 0.0828 0.9172 0.7500
Mg 0.9172 0.0828 0.2500


Of them, P has the highest stability.


P | Ho4Er5Mg2: optimized geometry, GGA-PBE.

Summary:
* ρ: 7.6 g/cm3
* DOS at the Fermi energy: 14.3 states/eV/cell

Cell: 8.8533 8.8533 11.2822 Å, 92.72 92.72 22.33°
Fractional coordinates of all 11 atoms:
Ho 0.0232 0.0232 0.2756
Ho 0.3588 0.3588 0.1883
Ho 0.6412 0.6412 0.8117
Ho 0.9768 0.9768 0.7244
Er 0.1743 0.1743 0.0745
Er 0.2134 0.2134 0.3797
Er 0.5000 0.5000 0.0000
Er 0.7866 0.7866 0.6203
Er 0.8257 0.8257 0.9255
Mg 0.4102 0.4102 0.4680
Mg 0.5898 0.5898 0.5320


Q | Ho4Er5Mg2: optimized geometry, GGA-PBE.

Summary:
* ρ: 7.6 g/cm3
* DOS at the Fermi energy: 18.9 states/eV/cell

Cell: 12.3110 12.3110 12.3110 Å, 164.16 138.30 44.88°
Fractional coordinates of all 11 atoms:
Ho 0.1811 0.5000 0.6811
Ho 0.2322 0.2322 0.0000
Ho 0.7678 0.7678 0.0000
Ho 0.8189 0.5000 0.3189
Er 0.1636 0.3602 0.8034
Er 0.4431 0.6398 0.8034
Er 0.5000 0.0000 0.5000
Er 0.5569 0.3602 0.1966
Er 0.8364 0.6398 0.1966
Mg 0.0985 0.0985 0.0000
Mg 0.9015 0.9015 0.0000


Of them, P has the highest stability.


P | Ho2ErMg9: optimized geometry, GGA-PBE.

Summary:
* ρ: 3.9 g/cm3
* DOS at the Fermi energy: 9.7 states/eV/cell

Cell: 4.6506 4.6506 13.9398 Å, 90.00 90.00 90.00°
Fractional coordinates of all 12 atoms:
Ho 0.0000 0.0000 0.1670
Ho 0.0000 0.0000 0.8330
Er 0.0000 0.0000 0.5000
Mg 0.0000 0.5000 0.0000
Mg 0.0000 0.5000 0.3339
Mg 0.0000 0.5000 0.6661
Mg 0.5000 0.0000 0.0000
Mg 0.5000 0.0000 0.3339
Mg 0.5000 0.0000 0.6661
Mg 0.5000 0.5000 0.1666
Mg 0.5000 0.5000 0.5000
Mg 0.5000 0.5000 0.8334


Q | Ho2ErMg9: optimized geometry, GGA-PBE.

Summary:
* ρ: 3.9 g/cm3
* DOS at the Fermi energy: 10.8 states/eV/cell

Cell: 10.2627 10.2627 10.2627 Å, 34.13 34.13 34.13°
Fractional coordinates of all 12 atoms:
Ho 0.1431 0.1431 0.1431
Ho 0.8569 0.8569 0.8569
Er 0.0000 0.0000 0.0000
Mg 0.0790 0.5868 0.5868
Mg 0.3341 0.3341 0.3341
Mg 0.4132 0.4132 0.9210
Mg 0.4132 0.9210 0.4132
Mg 0.5000 0.5000 0.5000
Mg 0.5868 0.0790 0.5868
Mg 0.5868 0.5868 0.0790
Mg 0.6659 0.6659 0.6659
Mg 0.9210 0.4132 0.4132


Of them, P has the highest stability.


P | Ho8Er2Mg: optimized geometry, GGA-PBE.

Summary:
* ρ: 8.0 g/cm3
* DOS at the Fermi energy: 18.2 states/eV/cell

Cell: 8.1722 8.1722 5.3561 Å, 90.00 90.00 103.49°
Fractional coordinates of all 11 atoms:
Ho 0.1652 0.1652 0.0000
Ho 0.1997 0.4736 0.5000
Ho 0.2478 0.7522 0.0000
Ho 0.4736 0.1997 0.5000
Ho 0.5264 0.8003 0.5000
Ho 0.7522 0.2478 0.0000
Ho 0.8003 0.5264 0.5000
Ho 0.8348 0.8348 0.0000
Er 0.1206 0.8794 0.5000
Er 0.8794 0.1206 0.5000
Mg 0.5000 0.5000 0.0000


Q | Ho8Er2Mg: optimized geometry, GGA-PBE.

Summary:
* ρ: 8.2 g/cm3
* DOS at the Fermi energy: 17.4 states/eV/cell

Cell: 8.6968 8.6968 6.6052 Å, 100.52 100.52 44.11°
Fractional coordinates of all 11 atoms:
Ho 0.0947 0.0947 0.9137
Ho 0.1586 0.6776 0.6128
Ho 0.2540 0.2540 0.6820
Ho 0.3224 0.8414 0.3872
Ho 0.6776 0.1586 0.6128
Ho 0.7460 0.7460 0.3180
Ho 0.8414 0.3224 0.3872
Ho 0.9053 0.9053 0.0863
Er 0.3120 0.3120 0.2029
Er 0.6880 0.6880 0.7971
Mg 0.5000 0.5000 0.0000


Of them, Q has the highest stability.


P | HoEr3Mg4: optimized geometry, GGA-PBE.

Summary:
* ρ: 5.9 g/cm3
* DOS at the Fermi energy: 10.4 states/eV/cell

Cell: 3.7651 3.7651 15.0884 Å, 90.00 90.00 90.00°
Fractional coordinates of all 8 atoms:
Ho 0.0000 0.0000 0.0000
Er 0.0000 0.0000 0.2503
Er 0.0000 0.0000 0.5000
Er 0.0000 0.0000 0.7497
Mg 0.5000 0.5000 0.1255
Mg 0.5000 0.5000 0.3751
Mg 0.5000 0.5000 0.6249
Mg 0.5000 0.5000 0.8745


Q | HoEr3Mg4: optimized geometry, GGA-PBE.

Summary:
* ρ: 5.6 g/cm3
* DOS at the Fermi energy: 8.5 states/eV/cell

Cell: 11.4129 11.4129 11.4129 Å, 163.57 147.69 36.45°
Fractional coordinates of all 8 atoms:
Ho 0.0000 0.0000 0.0000
Er 0.2365 0.7365 0.5000
Er 0.5000 0.5000 0.0000
Er 0.7635 0.2635 0.5000
Mg 0.1337 0.8742 0.2595
Mg 0.3853 0.1258 0.2595
Mg 0.6147 0.8742 0.7405
Mg 0.8663 0.1258 0.7405


Of them, P has the highest stability.


P | Ho2Er5Mg: optimized geometry, GGA-PBE.

Summary:
* ρ: 8.3 g/cm3
* DOS at the Fermi energy: 8.8 states/eV/cell

Cell: 6.9589 6.9589 6.9589 Å, 120.09 120.09 89.84°
Fractional coordinates of all 8 atoms:
Ho 0.0000 0.5000 0.5000
Ho 0.5000 0.0000 0.5000
Er 0.0001 0.0001 0.0000
Er 0.0000 0.0000 0.4999
Er 0.0000 0.5001 0.0000
Er 0.5001 0.0000 0.0000
Er 0.5001 0.5001 0.5001
Mg 0.4996 0.4996 0.0000


Q | Ho2Er5Mg: optimized geometry, GGA-PBE.

Summary:
* ρ: 8.2 g/cm3
* DOS at the Fermi energy: 24.8 states/eV/cell

Cell: 3.5229 8.5290 16.2849 Å, 81.52 83.89 89.78°
Fractional coordinates of all 16 atoms:
Ho 0.0187 0.3057 0.4598
Ho 0.2275 0.3222 0.0398
Ho 0.7725 0.6778 0.9602
Ho 0.9813 0.6943 0.5402
Er 0.1773 0.6194 0.1546
Er 0.2931 0.0297 0.9109
Er 0.3724 0.7172 0.7572
Er 0.4215 0.3738 0.6520
Er 0.4473 0.0132 0.5935
Er 0.5527 0.9868 0.4065
Er 0.5785 0.6262 0.3480
Er 0.6276 0.2828 0.2428
Er 0.7069 0.9703 0.0891
Er 0.8227 0.3806 0.8454
Mg 0.1277 0.9391 0.2521
Mg 0.8723 0.0609 0.7479


Of them, P has the highest stability.